(1)
The following is a GGA-PBE calculation of a relaxed SrCa2Y crystal, from the Alexandria database.

Cell and atoms, written as extended XYZ:
```
4
Lattice="3.829 0.000 0.000 0.000 5.571 0.000 0.000 0.000 7.813" Properties=species:S:1:pos:R:3 pbc="T T T"
Ca 1.915 2.785 1.892
Ca 0.000 0.000 7.731
Sr 0.000 0.000 3.970
Y 1.915 2.785 5.939
```

Results
E_form: 0.1388 eV/atom
ΔE to the lowest computed polymorph: 43 meV per atom
crystal system: orthorhombic
SG: Pmm2
total energy: -2.8984 eV per atom

(2)
The following is a GGA-PBE calculation of a relaxed Sr2CaY crystal, from the Alexandria database.

Cell and atoms, written as extended XYZ:
```
4
Lattice="7.450 -0.001 0.003 3.515 6.569 -0.003 -4.730 -4.541 3.538" Properties=species:S:1:pos:R:3 pbc="T T T"
Ca 3.960 -0.714 1.770
Sr 2.256 2.729 1.767
Sr 10.905 6.532 0.000
Y 5.563 3.332 0.000
```

Results
E_form: 0.1558 eV/atom
ΔE to the lowest computed polymorph: 39 meV per atom
crystal system: orthorhombic
SG: Imm2
total energy: -2.8016 eV per atom

(3)
The following is a GGA-PBE calculation of a relaxed Sr2CaY crystal, from the Alexandria database.

Cell and atoms, written as extended XYZ:
```
4
Lattice="-2.933 -2.203 -1.119 2.790 -2.233 1.393 -5.017 0.869 11.446" Properties=species:S:1:pos:R:3 pbc="T T T"
Y -2.547 0.441 5.809
Sr -4.980 0.863 11.360
Sr -1.419 -1.985 3.211
Ca -3.742 -1.582 8.509
```

Results
E_form: 0.1351 eV/atom
ΔE to the lowest computed polymorph: 18 meV per atom
crystal system: orthorhombic
SG: Cmm2
total energy: -2.8222 eV per atom

(4)
The following is a GGA-PBE calculation of a relaxed Sr2CaY crystal, from the Alexandria database.

Cell and atoms, written as extended XYZ:
```
4
Lattice="0.000 4.420 4.420 4.420 0.000 4.420 4.420 4.420 0.000" Properties=species:S:1:pos:R:3 pbc="T T T"
Y 4.420 4.420 4.420
Ca 0.000 0.000 0.000
Sr 6.631 6.631 6.631
Sr 2.210 2.210 2.210
```

Results
E_form: 0.1701 eV/atom
ΔE to the lowest computed polymorph: 53 meV per atom
crystal system: cubic
SG: Fm-3m
total energy: -2.7872 eV per atom

(5)
The following is a GGA-PBE calculation of a relaxed SrCa2Y crystal, from the Alexandria database.

Cell and atoms, written as extended XYZ:
```
4
Lattice="13.020 0.004 0.003 12.443 3.830 0.003 12.443 1.874 3.340" Properties=species:S:1:pos:R:3 pbc="T T T"
Ca 0.213 0.032 0.019
Ca 18.740 2.822 1.654
Sr 9.477 1.427 0.836
Y 28.430 4.281 2.509
```

Results
E_form: 0.1077 eV/atom
ΔE to the lowest computed polymorph: 12 meV per atom
crystal system: trigonal
SG: R-3m
total energy: -2.9296 eV per atom

(6)
The following is a GGA-PBE calculation of a relaxed SrCa2Y crystal, from the Alexandria database.

Cell and atoms, written as extended XYZ:
```
4
Lattice="7.278 -0.005 0.009 3.404 6.433 -0.009 -4.594 -4.455 3.467" Properties=species:S:1:pos:R:3 pbc="T T T"
Y 4.090 -0.576 1.738
Ca 10.636 6.400 0.000
Ca 2.008 2.556 1.729
Sr 5.377 3.236 0.000
```

Results
E_form: 0.1425 eV/atom
ΔE to the lowest computed polymorph: 47 meV per atom
crystal system: orthorhombic
SG: Imm2
total energy: -2.8947 eV per atom

(7)
The following is a GGA-PBE calculation of a relaxed SrCa2Y crystal, from the Alexandria database.

Cell and atoms, written as extended XYZ:
```
4
Lattice="-3.779 4.919 -2.638 -2.095 -1.821 -6.143 -0.244 -3.156 5.952" Properties=species:S:1:pos:R:3 pbc="T T T"
Ca -2.638 -1.714 -2.291
Ca 0.000 0.000 0.000
Sr -2.937 1.549 -4.391
Y -3.480 1.656 -0.539
```

Results
E_form: 0.1672 eV/atom
ΔE to the lowest computed polymorph: 71 meV per atom
crystal system: tetragonal
SG: I-4m2
total energy: -2.8700 eV per atom

(8)
The following is a GGA-PBE calculation of a relaxed Sr2CaY crystal, from the Alexandria database.

Cell and atoms, written as extended XYZ:
```
4
Lattice="4.160 0.000 0.000 0.000 4.160 0.000 0.000 0.000 10.179" Properties=species:S:1:pos:R:3 pbc="T T T"
Ca 2.080 2.080 7.330
Sr 0.000 0.000 9.972
Sr 2.080 2.080 2.851
Y 0.000 0.000 5.294
```

Results
E_form: 0.1167 eV/atom
ΔE to the lowest computed polymorph: 0 meV per atom
crystal system: tetragonal
SG: P4mm
total energy: -2.8407 eV per atom

(9)
The following is a GGA-PBE calculation of a relaxed SrCa2Y crystal, from the Alexandria database.

Cell and atoms, written as extended XYZ:
```
4
Lattice="6.141 0.000 0.000 0.000 3.706 0.023 0.000 1.267 7.140" Properties=species:S:1:pos:R:3 pbc="T T T"
Ca 0.000 1.277 7.076
Ca 3.071 1.190 1.753
Y 3.071 3.733 5.430
Sr 0.000 2.525 3.626
```

Results
E_form: 0.1369 eV/atom
ΔE to the lowest computed polymorph: 41 meV per atom
crystal system: monoclinic
SG: Pm
total energy: -2.9003 eV per atom

(10)
The following is a GGA-PBE calculation of a relaxed SrCa2Y crystal, from the Alexandria database.

Cell and atoms, written as extended XYZ:
```
4
Lattice="7.306 0.005 0.004 3.472 6.428 -0.004 -4.664 -4.431 3.462" Properties=species:S:1:pos:R:3 pbc="T T T"
Ca 10.660 6.363 0.000
Ca 5.506 3.287 0.000
Sr 2.098 2.607 1.729
Y 4.015 -0.605 1.733
```

Results
E_form: 0.1395 eV/atom
ΔE to the lowest computed polymorph: 44 meV per atom
crystal system: orthorhombic
SG: Immm
total energy: -2.8978 eV per atom

(11)
The following is a GGA-PBE calculation of a relaxed SrCa2Y crystal, from the Alexandria database.

Cell and atoms, written as extended XYZ:
```
4
Lattice="3.888 0.000 0.000 0.000 3.888 0.000 0.000 0.000 11.027" Properties=species:S:1:pos:R:3 pbc="T T T"
Ca 0.000 0.000 10.884
Ca 1.944 1.944 2.609
Sr 0.000 0.000 5.658
Y 1.944 1.944 8.417
```

Results
E_form: 0.1128 eV/atom
ΔE to the lowest computed polymorph: 17 meV per atom
crystal system: tetragonal
SG: P4mm
total energy: -2.9244 eV per atom

(12)
The following is a GGA-PBE calculation of a relaxed Sr2CaY crystal, from the Alexandria database.

Cell and atoms, written as extended XYZ:
```
4
Lattice="-3.439 0.290 -2.694 2.263 -4.778 -3.404 -3.145 -4.040 3.580" Properties=species:S:1:pos:R:3 pbc="T T T"
Sr 0.000 0.000 0.000
Sr -0.588 -2.244 -3.049
Y -3.292 -1.875 0.443
Ca -0.441 -4.409 0.088
```

Results
E_form: 0.1725 eV/atom
ΔE to the lowest computed polymorph: 56 meV per atom
crystal system: orthorhombic
SG: Pmmm
total energy: -2.7848 eV per atom

Q: Among the records above, which one has the highest ΔE to the lowest computed polymorph?
A: number 7

Q: The lowest total energy belongs to which entry?
A: number 5

Q: Which of these has the highest E_form?
A: number 12

Q: The highest total energy belongs to which entry?
A: number 12